Material: La2CdGa
Method: DFT, PBE-GGA
State: relaxed

The total magnetization is 0.000 μB per formula unit. The formation energy from the elements comes out at -97 kJ/mol of formula units. The space group is R-3m. The crystal system is trigonal. As for the raw total energy: -0.1359 hartree per atom. The value obtained for the calculated volume is 31.0 Å³ per atom.

```
La2CdGa
1.0
1.9227 1.1101 9.6957
-1.9227 1.1101 9.6957
0.0000 -2.2202 9.6957
La Cd Ga
2 1 1
Cartesian
0.0000 0.0000 7.0672
0.0000 0.0000 22.0198
0.0000 0.0000 0.0000
0.0000 0.0000 14.5435
```